No. 1
Entry from Alexandria: Tb4Se3N after structural relaxation (GGA-PBE).

a = 3.8787 Å, b = 6.9304 Å, c = 6.9304 Å
α = 108.56°, β = 90.00°, γ = 90.00°
Closest atoms and distances in Å follow each position.
Atoms (fractional coordinates):
N1 0.5000 0.0000 0.0000  6 Tb 2.47-2.57
Tb1 0.0000 0.7912 0.7912  2 N 2.57, 2 Se 2.83
Tb2 0.5000 0.7805 0.2195  1 N 2.47
Tb3 0.5000 0.2195 0.7805  1 N 2.47
Tb4 0.0000 0.2088 0.2088  2 N 2.57, 2 Se 2.83
Se1 0.5000 0.5000 0.5000  6 Tb 3.05-3.16
Se2 0.0000 0.5000 0.0000  6 Tb 2.82-2.83
Se3 0.0000 0.0000 0.5000  6 Tb 2.82-2.83

Calculated volume   176.6 Å³/cell
E_tot   -6.356 eV per atom
Density of states at the Fermi level   0.40 states/eV per atom
SG   Cmmm, No. 65
Formation energy (no corrections)   -1307 kJ/mol of formula units
M_tot   0.0 μB/f.u.



No. 2
Entry from Alexandria: Tb8Te3Se3N after structural relaxation (GGA-PBE).

a = 8.2236 Å, b = 8.2235 Å, c = 8.4775 Å
α = 119.01°, β = 90.00°, γ = 120.00°
Closest atoms and distances in Å follow each position.
Atoms (fractional coordinates):
Tb1 0.2216 0.0134 0.3052  1 N 2.46
Tb2 0.7918 0.0134 0.3052  1 N 2.46
Tb3 0.2082 0.4164 0.6948  1 N 2.46
Tb4 0.7918 0.5836 0.3052  1 N 2.46
Tb5 0.7382 0.4765 0.7147  3 Se 2.81, 3 Te 3.11
Tb6 0.2618 0.5235 0.2853  3 Se 2.81, 3 Te 3.11
Tb7 0.2082 0.9866 0.6948  1 N 2.46
Tb8 0.7784 0.9866 0.6948  1 N 2.46
Se1 0.5000 0.5000 0.5000  6 Tb 2.81-2.90
Se2 0.5000 0.0000 0.5000  6 Tb 2.81-2.90
Se3 0.0000 0.5000 0.5000  6 Tb 2.81-2.90
Te1 0.0000 0.5000 0.0000  6 Tb 3.09-3.11
Te2 0.0000 0.0000 0.0000  6 Tb 3.09-3.11
Te3 0.5000 0.5000 0.0000  6 Tb 3.09-3.11
N1 0.0000 0.0000 0.5000  6 Tb 2.46

Calculated volume   411.3 Å³/cell
E_tot   -5.744 eV per atom
Density of states at the Fermi level   0.50 states/eV per atom
SG   R-3m, No. 166
Formation energy (no corrections)   -2018 kJ/mol of formula units
M_tot   0.0 μB/f.u.



No. 3
Entry from Alexandria: TbThSeN after structural relaxation (GGA-PBE).

a = 4.2437 Å, b = 4.2437 Å, c = 9.8117 Å
α = 90.00°, β = 90.00°, γ = 90.00°
Closest atoms and distances in Å follow each position.
Atoms (fractional coordinates):
Th1 0.0000 0.5000 0.8892  4 N 2.38
Th2 0.5000 0.0000 0.1108  4 N 2.38
Se1 0.0000 0.5000 0.2867  4 Tb 2.98
Se2 0.5000 0.0000 0.7133  4 Tb 2.98
N1 0.5000 0.5000 0.0000  4 Th 2.38
N2 0.0000 0.0000 0.0000  4 Th 2.38
Tb1 0.5000 0.5000 0.5000  4 Se 2.98, 4 Tb 3.00
Tb2 0.0000 0.0000 0.5000  4 Se 2.98, 4 Tb 3.00

Calculated volume   176.7 Å³/cell
E_tot   -7.388 eV per atom
Density of states at the Fermi level   0.63 states/eV per atom
SG   P4/nmm, No. 129
Formation energy (no corrections)   -549 kJ/mol of formula units
M_tot   0.0 μB/f.u.



No. 4
Entry from Alexandria: Tb8Tl3Se3N after structural relaxation (GGA-PBE).

a = 7.9048 Å, b = 7.9050 Å, c = 8.9826 Å
α = 116.13°, β = 90.00°, γ = 119.99°
Closest atoms and distances in Å follow each position.
Atoms (fractional coordinates):
Tb1 0.7914 0.5828 0.3087  1 N 2.47
Tb2 0.2255 0.0170 0.3085  1 N 2.47
Tb3 0.7745 0.9830 0.6915  1 N 2.47
Tb4 0.7913 0.0170 0.3085  1 N 2.47
Tb5 0.7396 0.4791 0.7184  3 Se 2.84, 3 Tl 3.15-3.16
Tb6 0.2086 0.4172 0.6913  1 N 2.47
Tb7 0.2604 0.5209 0.2816  3 Se 2.84, 3 Tl 3.15-3.16
Tb8 0.2087 0.9830 0.6915  1 N 2.47
Tl1 0.0000 0.0000 0.0000  6 Tb 3.15-3.21
Tl2 0.5000 0.5000 0.0000  6 Tb 3.16-3.21
Tl3 0.0000 0.5000 0.0000  6 Tb 3.15-3.21
Se1 0.5000 0.5000 0.5000  6 Tb 2.84-2.86
Se2 0.0000 0.5000 0.5000  6 Tb 2.84-2.86
Se3 0.5000 0.0000 0.5000  6 Tb 2.84-2.86
N1 0.0000 0.0000 0.5000  6 Tb 2.47

Calculated volume   418.6 Å³/cell
E_tot   -5.182 eV per atom
Density of states at the Fermi level   0.46 states/eV per atom
SG   R-3m, No. 166
Formation energy (no corrections)   -1429 kJ/mol of formula units
M_tot   0.0 μB/f.u.



No. 5
Entry from Alexandria: TbTmSeN after structural relaxation (GGA-PBE).

a = 3.6461 Å, b = 3.6461 Å, c = 6.8166 Å
α = 74.49°, β = 74.49°, γ = 60.00°
Closest atoms and distances in Å follow each position.
Atoms (fractional coordinates):
N1 0.2532 0.2532 0.2403  3 Tm 2.43, 3 Tb 2.50
Tm1 0.9823 0.9823 0.0532  3 N 2.43
Tb1 0.5168 0.5168 0.4497  3 N 2.50
Se1 0.7477 0.7477 0.7568  3 Tm 2.85, 3 Tb 2.90

Calculated volume   74.6 Å³/cell
E_tot   -6.940 eV per atom
Density of states at the Fermi level   0.25 states/eV per atom
SG   R3m, No. 160
Formation energy (no corrections)   -661 kJ/mol of formula units
M_tot   0.0 μB/f.u.



No. 6
Entry from Alexandria: TcSeN3 after structural relaxation (GGA-PBE).

a = 3.9224 Å, b = 3.9224 Å, c = 3.9224 Å
α = 90.00°, β = 90.00°, γ = 90.00°
Closest atoms and distances in Å follow each position.
Atoms (fractional coordinates):
Se1 0.5000 0.5000 0.5000  12 N 2.77
N1 0.0000 0.0000 0.5000  2 Tc 1.96
N2 0.5000 0.0000 0.0000  2 Tc 1.96
N3 0.0000 0.5000 0.0000  2 Tc 1.96
Tc1 0.0000 0.0000 0.0000  6 N 1.96

Calculated volume   60.3 Å³/cell
E_tot   -6.422 eV per atom
Density of states at the Fermi level   0.85 states/eV per atom
SG   Pm-3m, No. 221
Formation energy (no corrections)   648 kJ/mol of formula units
M_tot   0.0 μB/f.u.



No. 7
Entry from Alexandria: TcSeN3 after structural relaxation (GGA-PBE).

a = 3.7381 Å, b = 3.7381 Å, c = 3.7381 Å
α = 90.00°, β = 90.00°, γ = 90.00°
Closest atoms and distances in Å follow each position.
Atoms (fractional coordinates):
Tc1 0.5000 0.5000 0.5000  12 N 2.64
N1 0.0000 0.0000 0.5000  2 Se 1.87
N2 0.0000 0.5000 0.0000  2 Se 1.87
N3 0.5000 0.0000 0.0000  2 Se 1.87
Se1 0.0000 0.0000 0.0000  6 N 1.87

Calculated volume   52.2 Å³/cell
E_tot   -5.684 eV per atom
Density of states at the Fermi level   0.85 states/eV per atom
SG   Pm-3m, No. 221
Formation energy (no corrections)   1004 kJ/mol of formula units
M_tot   1.6 μB/f.u.



No. 8
Entry from Alexandria: TcSe3N after structural relaxation (GGA-PBE).

a = 4.2856 Å, b = 4.2856 Å, c = 4.2856 Å
α = 90.00°, β = 90.00°, γ = 90.00°
Closest atoms and distances in Å follow each position.
Atoms (fractional coordinates):
Se1 0.0000 0.0000 0.5000  2 N 2.14
Se2 0.0000 0.5000 0.0000  2 N 2.14
Se3 0.5000 0.0000 0.0000  2 N 2.14
N1 0.0000 0.0000 0.0000  6 Se 2.14
Tc1 0.5000 0.5000 0.5000  12 Se 3.03

Calculated volume   78.7 Å³/cell
E_tot   -4.686 eV per atom
Density of states at the Fermi level   0.72 states/eV per atom
SG   Pm-3m, No. 221
Formation energy (no corrections)   551 kJ/mol of formula units
M_tot   0.0 μB/f.u.